[1]
Here is crystalline MnIn2Cl at its relaxed geometry from the Alexandria database. Energies are from PBE.

The structure belongs to space group Imm2 (No. 44); the cell edges are 3.149, 5.552 and 10.574 Å and the angles 90.00°, 90.00° and 90.00°. The distinct sites, in fractional coordinates, are Mn at (0.000, 0.000, 0.000), In at (0.000, 0.000, 0.489), In at (0.000, 0.500, 0.272) and Cl at (0.000, 0.500, 0.680).

For the uncorrected formation energy, the calculation gives -0.105 eV/atom.



[2]
Here is crystalline LaMg2Al at its relaxed geometry from the Alexandria database. Energies are from PBE.

The structure belongs to space group I-42d (No. 122); the cell edges are 4.477, 4.477 and 21.744 Å and the angles 90.00°, 90.00° and 90.00°. The distinct sites, in fractional coordinates, are La at (0.000, 0.000, 0.000), Mg at (0.209, 0.250, 0.625) and Al at (0.000, 0.000, 0.500).

The energy of formation from the pure elements comes out at 11.42 kJ/mol of atoms.



[3]
Here is crystalline TiGaPt3 at its relaxed geometry from the Alexandria database. Energies are from PBE.

The structure belongs to space group Pm-3m (No. 221); the cell edges are 4.749, 4.749 and 4.749 Å and the angles 90.00°, 90.00° and 90.00°. The distinct sites, in fractional coordinates, are Ti at (0.000, 0.000, 0.000), Ga at (0.500, 0.500, 0.500) and Pt at (0.000, 0.000, 0.500).

The energy of formation from the pure elements comes out at 47.86 kJ/mol of atoms.



[4]
Here is crystalline CeTcMoC3 at its relaxed geometry from the Alexandria database. Energies are from PBE.

The structure belongs to space group P2_1/m (No. 11); the cell edges are 5.606, 3.171 and 8.412 Å and the angles 90.00°, 103.56° and 90.00°. The distinct sites, in fractional coordinates, are Ce at (0.152, 0.250, 0.198), Tc at (0.376, 0.250, 0.866), Mo at (0.262, 0.750, 0.549), C at (0.073, 0.250, 0.655), C at (0.259, 0.750, 0.987) and C at (0.484, 0.750, 0.353).

The energy of formation from the pure elements comes out at -10.65 kJ/mol of atoms.



[5]
Here is crystalline Pm4NdY3 at its relaxed geometry from the Alexandria database. Energies are from PBE.

The structure belongs to space group Pmn2_1 (No. 31); the cell edges are 11.633, 7.368 and 6.364 Å and the angles 90.00°, 90.00° and 90.00°. The distinct sites, in fractional coordinates, are Pm at (0.000, 0.126, 0.000), Pm at (0.000, 0.874, 0.495), Pm at (0.248, 0.876, 0.828), Nd at (0.000, 0.374, 0.493), Y at (0.000, 0.624, 0.994) and Y at (0.250, 0.376, 0.829).

The energy of formation from the pure elements comes out at 2.11 kJ/mol of atoms.



[6]
Here is crystalline CdCo2Re2 at its relaxed geometry from the Alexandria database. Energies are from PBE.

The structure belongs to space group P4/mbm (No. 127); the cell edges are 7.341, 7.341 and 2.644 Å and the angles 90.00°, 90.00° and 90.00°. The distinct sites, in fractional coordinates, are Cd at (0.000, 0.000, 0.000), Co at (0.121, 0.379, 0.000) and Re at (0.169, 0.669, 0.500).

The energy of formation from the pure elements comes out at 33.85 kJ/mol of atoms.